Here is crystalline Sr2VCO3F5 at its relaxed geometry from Alexandria. Energies are from PBE with a Hubbard U.

Computed properties:
- Total magnetic moment: 2.000 μB/f.u.
- Raw total energy: -6.611 eV/atom
- DOS(E_F): 0.00 states/eV/atom

Cell lengths 5.605, 9.015, 13.948 Å; angles 90.00, 105.66, 90.00 degrees
Space group P2_1/c (No. 14)
Unique sites:
Sr: 0.190 0.108 0.403 (multiplicity 4)
Sr: 0.193 0.643 0.414 (multiplicity 4)
V: 0.310 0.627 0.672 (multiplicity 4)
C: 0.313 0.123 0.634 (multiplicity 4)
O: 0.083 0.121 0.580 (multiplicity 4)
O: 0.356 0.130 0.730 (multiplicity 4)
O: 0.490 0.119 0.590 (multiplicity 4)
F: 0.023 0.128 0.933 (multiplicity 4)
F: 0.170 0.040 0.228 (multiplicity 4)
F: 0.174 0.716 0.237 (multiplicity 4)
F: 0.405 0.724 0.085 (multiplicity 4)
F: 0.425 0.017 0.088 (multiplicity 4)